Model A:
A relaxed structure of LaNF3, computed with GGA-PBE.

Properties
As for the total magnetization: 3.0 μB/cell.

Lattice parameters (Å, degrees): 4.692 4.692 4.692 90.00 90.00 90.00
Fractional positions:
La: 0.000 0.000 0.000
N: 0.500 0.500 0.500
F: 0.000 0.000 0.500
F: 0.000 0.500 0.000
F: 0.500 0.000 0.000

***

Model B:
A relaxed structure of LaNF3, computed with GGA-PBE.

Properties
As for the total magnetization: 0.2 μB/cell.

Lattice parameters (Å, degrees): 4.073 4.073 4.073 90.00 90.00 90.00
Fractional positions:
La: 0.000 0.000 0.000
N: 0.500 0.500 0.500
F: 0.000 0.500 0.500
F: 0.500 0.000 0.500
F: 0.500 0.500 0.000

***

Least stable structure: model B